P:
Pr8NiAu2 after structural relaxation, computed with GGA-PBE.

Cell lengths 6.2275, 8.1090, 8.1090 Å; angles 108.85, 104.28, 104.28 degrees
With the nearest neighbours (Å) after each atom.
Atoms (fractional coordinates):
Pr1 0.6317 0.3747 0.1144  2 Au 2.98-3.11, 1 Ni 3.03
Pr2 0.6317 0.1144 0.3747  2 Au 2.98-3.11, 1 Ni 3.03
Pr3 0.2024 0.3692 0.3692  2 Au 3.21, 1 Pr 3.32
Pr4 0.9520 0.1441 0.8602  1 Ni 2.76
Pr5 0.9520 0.8602 0.1441  1 Ni 2.76
Pr6 0.7581 0.6407 0.6407  2 Au 3.07, 1 Pr 3.32
Pr7 0.2972 0.8966 0.6173  1 Ni 2.94, 2 Au 3.04-3.18
Pr8 0.2972 0.6173 0.8966  1 Ni 2.94, 2 Au 3.04-3.18
Ni1 0.2702 0.9910 0.9910  6 Pr 2.76-3.03
Au1 0.5035 0.7146 0.3111  6 Pr 2.98-3.21
Au2 0.5035 0.3111 0.7146  6 Pr 2.98-3.21

Q:
Pr8NiAu2 after structural relaxation, computed with GGA-PBE.

Cell lengths 5.1901, 7.1028, 9.4564 Å; angles 100.05, 105.93, 90.00 degrees
With the nearest neighbours (Å) after each atom.
Atoms (fractional coordinates):
Pr1 0.4120 0.5526 0.8240  1 Ni 3.29, 5 Pr 3.42-3.53, 2 Au 3.64
Pr2 0.6578 0.9726 0.3156  1 Ni 2.91, 3 Au 3.09-3.18
Pr3 0.7972 0.6715 0.5944  3 Au 3.00-3.33
Pr4 0.9753 0.2198 0.9507  1 Au 3.09, 2 Ni 3.10, 1 Pr 3.40
Pr5 0.2028 0.3285 0.4056  3 Au 3.00-3.33
Pr6 0.3422 0.0274 0.6844  1 Ni 2.91, 3 Au 3.09-3.18
Pr7 0.5880 0.4474 0.1760  1 Ni 3.29, 5 Pr 3.42-3.53, 2 Au 3.64
Pr8 0.0247 0.7802 0.0493  1 Au 3.09, 2 Ni 3.10, 1 Pr 3.40
Ni1 0.5000 0.0000 0.0000  6 Pr 2.91-3.10
Au1 0.8087 0.2561 0.6174  7 Pr 3.00-3.33
Au2 0.1913 0.7439 0.3826  7 Pr 3.00-3.33

The most stable of them is Q.

P:
NiPt2Au after structural relaxation, computed with GGA-PBE.

Cell lengths 4.7892, 4.7892, 4.7892 Å; angles 131.10, 131.10, 71.65 degrees
With the nearest neighbours (Å) after each atom.
Atoms (fractional coordinates):
Au1 0.5000 0.5000 0.0000  4 Ni 2.77, 8 Pt 2.77-2.80
Ni1 0.7500 0.2500 0.5000  8 Pt 2.77-2.80, 4 Au 2.77
Pt1 0.0000 0.0000 0.0000  4 Pt 2.77, 4 Ni 2.77, 4 Au 2.80
Pt2 0.2500 0.7500 0.5000  4 Au 2.77, 4 Pt 2.77, 4 Ni 2.80

Q:
NiPt2Au after structural relaxation, computed with GGA-PBE.

Cell lengths 9.2253, 9.2253, 9.2253 Å; angles 17.37, 17.37, 17.37 degrees
With the nearest neighbours (Å) after each atom.
Atoms (fractional coordinates):
Ni1 0.7500 0.7500 0.7500  6 Pt 2.61, 6 Ni 2.79
Au1 0.2500 0.2500 0.2500  6 Au 2.79, 6 Pt 2.96
Pt1 0.0078 0.0078 0.0078  3 Ni 2.61, 6 Pt 2.79
Pt2 0.4922 0.4922 0.4922  3 Ni 2.61, 6 Pt 2.79

The most stable of them is Q.

P:
NiPt2Au after structural relaxation, computed with GGA-PBE.

Cell lengths 4.4345, 4.4345, 4.4345 Å; angles 60.00, 60.00, 60.00 degrees
With the nearest neighbours (Å) after each atom.
Atoms (fractional coordinates):
Au1 0.5000 0.5000 0.5000  4 Pt 2.72, 4 Ni 2.72
Ni1 0.2500 0.2500 0.2500  4 Pt 2.72, 4 Au 2.72
Pt1 0.0000 0.0000 0.0000  4 Ni 2.72, 4 Pt 2.72
Pt2 0.7500 0.7500 0.7500  4 Au 2.72, 4 Pt 2.72

Q:
NiPt2Au after structural relaxation, computed with GGA-PBE.

Cell lengths 2.7939, 2.7939, 9.2269 Å; angles 81.29, 81.29, 60.00 degrees
With the nearest neighbours (Å) after each atom.
Atoms (fractional coordinates):
Ni1 0.6669 0.6669 0.9993  6 Pt 2.60-2.61, 6 Ni 2.79
Pt1 0.0752 0.0752 0.7744  3 Ni 2.60, 6 Pt 2.79
Pt2 0.2582 0.2582 0.2254  3 Ni 2.61, 6 Pt 2.79
Au1 0.4997 0.4997 0.5009  6 Au 2.79, 6 Pt 2.96-2.98

The most stable of them is Q.

P:
NiPt2Au after structural relaxation, computed with GGA-PBE.

Cell lengths 5.4347, 5.4347, 5.4347 Å; angles 150.40, 128.81, 60.25 degrees
With the nearest neighbours (Å) after each atom.
Atoms (fractional coordinates):
Ni1 0.2500 0.7500 0.5000  4 Pt 2.60, 4 Au 2.73, 2 Ni 2.78
Au1 0.7500 0.2500 0.5000  4 Ni 2.73, 2 Au 2.78, 4 Pt 2.86
Pt1 0.0163 0.0163 0.0000  2 Ni 2.60, 6 Pt 2.74-2.78, 2 Au 2.86
Pt2 0.4837 0.4837 0.0000  2 Ni 2.60, 6 Pt 2.74-2.78, 2 Au 2.86

Q:
NiPt2Au after structural relaxation, computed with GGA-PBE.

Cell lengths 2.7507, 2.7507, 9.4152 Å; angles 90.00, 90.00, 119.22 degrees
With the nearest neighbours (Å) after each atom.
Atoms (fractional coordinates):
Au1 0.5000 0.5000 0.2500  6 Au 2.75-2.78, 4 Pt 2.91
Ni1 0.5000 0.5000 0.7500  4 Pt 2.56, 6 Ni 2.75-2.78
Pt1 0.0000 0.0000 0.9784  2 Ni 2.56, 6 Pt 2.75-2.78
Pt2 0.0000 0.0000 0.5216  2 Ni 2.56, 6 Pt 2.75-2.78

The most stable of them is P.

P:
Ni2PtAu after structural relaxation, computed with GGA-PBE.

Cell lengths 2.7508, 3.5921, 5.7022 Å; angles 90.00, 90.00, 90.00 degrees
With the nearest neighbours (Å) after each atom.
Atoms (fractional coordinates):
Au1 0.5000 0.5000 0.7706  5 Ni 2.67-2.68, 2 Au 2.75, 4 Pt 2.85
Ni1 0.0000 0.0000 0.0225  1 Pt 2.54, 6 Ni 2.58-2.75, 4 Au 2.68
Ni2 0.5000 0.5000 0.2391  6 Ni 2.58-2.75, 4 Pt 2.61, 1 Au 2.67
Pt1 0.0000 0.0000 0.4678  5 Ni 2.54-2.61, 2 Pt 2.75

Q:
Ni2PtAu after structural relaxation, computed with GGA-PBE.

Cell lengths 4.3276, 4.3276, 4.3276 Å; angles 60.00, 60.00, 60.00 degrees
With the nearest neighbours (Å) after each atom.
Atoms (fractional coordinates):
Au1 0.5000 0.5000 0.5000  4 Pt 2.65, 4 Ni 2.65
Ni1 0.0000 0.0000 0.0000  4 Ni 2.65, 4 Pt 2.65
Ni2 0.2500 0.2500 0.2500  4 Ni 2.65, 4 Au 2.65
Pt1 0.7500 0.7500 0.7500  4 Ni 2.65, 4 Au 2.65

R:
Ni2PtAu after structural relaxation, computed with GGA-PBE.

Cell lengths 3.6136, 2.7678, 6.2442 Å; angles 63.82, 90.00, 90.00 degrees
With the nearest neighbours (Å) after each atom.
Atoms (fractional coordinates):
Ni1 0.0000 0.9832 0.0168  3 Ni 2.61-2.77, 4 Pt 2.62-2.63, 4 Au 2.72
Ni2 0.0000 0.5168 0.4832  3 Ni 2.61-2.77, 4 Pt 2.62-2.63, 4 Au 2.72
Au1 0.5000 0.7500 0.7500  8 Ni 2.72, 2 Au 2.77, 2 Pt 2.80
Pt1 0.5000 0.2500 0.2500  8 Ni 2.62-2.63, 2 Pt 2.77, 2 Au 2.80

S:
Ni2PtAu after structural relaxation, computed with GGA-PBE.

Cell lengths 3.7809, 3.7809, 9.0954 Å; angles 78.00, 78.00, 90.00 degrees
With the nearest neighbours (Å) after each atom.
Atoms (fractional coordinates):
Ni1 0.5993 0.1250 0.2500  2 Pt 2.52, 4 Ni 2.54-2.81, 2 Au 2.59
Ni2 0.1507 0.6250 0.2500  2 Pt 2.52, 4 Ni 2.54-2.81, 2 Au 2.59
Ni3 0.3750 0.4007 0.7500  2 Pt 2.52, 4 Ni 2.54-2.81, 2 Au 2.59
Ni4 0.8750 0.8493 0.7500  2 Pt 2.52, 4 Ni 2.54-2.81, 2 Au 2.59
Au1 0.0000 0.0000 0.0000  4 Ni 2.59, 4 Pt 2.67
Au2 0.7500 0.2500 0.5000  4 Ni 2.59, 4 Pt 2.67
Pt1 0.5000 0.5000 0.0000  4 Ni 2.52, 4 Au 2.67
Pt2 0.2500 0.7500 0.5000  4 Ni 2.52, 4 Au 2.67

The most stable of them is R.

P:
Ni2PtAu after structural relaxation, computed with GGA-PBE.

Cell lengths 4.5512, 4.5512, 4.5512 Å; angles 128.69, 128.68, 75.52 degrees
With the nearest neighbours (Å) after each atom.
Atoms (fractional coordinates):
Ni1 0.0000 0.0000 0.0000  4 Pt 2.67, 4 Au 2.67, 4 Ni 2.79
Ni2 0.5000 0.5000 0.0000  4 Pt 2.67, 4 Au 2.67, 4 Ni 2.79
Au1 0.2500 0.7500 0.5000  8 Ni 2.67, 4 Pt 2.79
Pt1 0.7500 0.2500 0.5000  8 Ni 2.67, 4 Au 2.79

Q:
Ni2PtAu after structural relaxation, computed with GGA-PBE.

Cell lengths 4.5287, 4.5287, 4.8485 Å; angles 79.95, 79.95, 35.69 degrees
With the nearest neighbours (Å) after each atom.
Atoms (fractional coordinates):
Au1 0.7500 0.7500 0.7500  6 Ni 2.70-2.71, 2 Au 2.78, 4 Pt 2.79
Ni1 0.9967 0.9967 0.0206  3 Pt 2.61-2.63, 4 Ni 2.63-2.78, 3 Au 2.70-2.71
Ni2 0.5033 0.5033 0.4794  3 Pt 2.61-2.63, 4 Ni 2.63-2.78, 3 Au 2.70-2.71
Pt1 0.2500 0.2500 0.2500  6 Ni 2.61-2.63, 2 Pt 2.78, 4 Au 2.79

R:
Ni2PtAu after structural relaxation, computed with GGA-PBE.

Cell lengths 4.8039, 4.8039, 4.5386 Å; angles 75.21, 75.21, 33.57 degrees
With the nearest neighbours (Å) after each atom.
Atoms (fractional coordinates):
Au1 0.7406 0.7406 0.7825  7 Ni 2.65-2.68, 2 Au 2.77, 3 Pt 2.86-2.89
Ni1 0.9856 0.9856 0.9893  4 Ni 2.52-2.77, 4 Pt 2.62-2.72, 3 Au 2.66-2.67
Ni2 0.2618 0.2618 0.2669  4 Ni 2.52-2.77, 3 Pt 2.63-2.67, 4 Au 2.65-2.68
Pt1 0.5120 0.5120 0.4612  7 Ni 2.62-2.72, 2 Pt 2.77, 3 Au 2.86-2.89

S:
Ni2PtAu after structural relaxation, computed with GGA-PBE.

Cell lengths 8.7676, 8.7676, 8.7676 Å; angles 18.06, 18.06, 18.06 degrees
With the nearest neighbours (Å) after each atom.
Atoms (fractional coordinates):
Au1 0.7500 0.7500 0.7500  6 Ni 2.73, 6 Au 2.75
Ni1 0.9977 0.9977 0.9977  3 Pt 2.63, 3 Au 2.73, 6 Ni 2.75
Ni2 0.5023 0.5023 0.5023  3 Pt 2.63, 3 Au 2.73, 6 Ni 2.75
Pt1 0.2500 0.2500 0.2500  6 Ni 2.63, 6 Pt 2.75

The most stable of them is P.